Compound: TmRhO3
Source: the Alexandria database
Functional: meta-GGA SCAN
Structure: PBEsol geometry

Results
Magnetization: 0.000 μB/f.u.
Energy relative to the elements, uncorrected: -246 kJ/mol of atoms

a = 5.1163 Å, b = 5.7088 Å, c = 7.4310 Å
α = 90.00°, β = 90.00°, γ = 90.00°
Element x y z (fractional)
1 Tm 0.0347 0.4108 0.2500
2 Tm 0.9653 0.5892 0.7500
3 Tm 0.5347 0.0892 0.7500
4 Tm 0.4653 0.9108 0.2500
5 Rh 0.0000 0.0000 0.0000
6 Rh 0.5000 0.5000 0.0000
7 Rh 0.0000 0.0000 0.5000
8 Rh 0.5000 0.5000 0.5000
9 O 0.3282 0.1880 0.0634
10 O 0.6718 0.8120 0.9366
11 O 0.8282 0.3120 0.9366
12 O 0.6718 0.8120 0.5634
13 O 0.1718 0.6880 0.0634
14 O 0.3282 0.1880 0.4366
15 O 0.1718 0.6880 0.4366
16 O 0.8282 0.3120 0.5634
17 O 0.6422 0.5564 0.2500
18 O 0.3578 0.4436 0.7500
19 O 0.1422 0.9436 0.7500
20 O 0.8578 0.0564 0.2500